No. 1
Material: RbGa2AuI8
Method: DFT, PBE
State: optimized geometry

The space group is P-3 (No. 147) and the conventional cell measures 7.5055, 7.5055 and 10.6118 Å, with angles of 90.00, 90.00 and 120.00 degrees. The inequivalent atoms are Rb at (0.0000, 0.0000, 0.0000), Ga at (0.3333, 0.6667, 0.7507), Au at (0.0000, 0.0000, 0.5000), I at (0.0124, 0.3266, 0.6745) and I at (0.3333, 0.6667, 0.9945).

As for the total magnetization: 0.00 μB per formula unit. The formation energy without anion corrections comes out at -555.1 meV per atom.

***

No. 2
Material: Hf3VAu
Method: DFT, PBE
State: optimized geometry

The space group is Pm-3m (No. 221) and the conventional cell measures 5.1019, 5.1019 and 5.1019 Å, with angles of 90.00, 90.00 and 90.00 degrees. The inequivalent atoms are Hf at (0.0000, 0.0000, 0.5000), V at (0.5000, 0.5000, 0.5000) and Au at (0.0000, 0.0000, 0.0000).

As for the formation energy: 1.02 eV per atom. The calculation puts the energy above the most stable polymorph in this dataset at 360.3 meV/atom. As for the total magnetization: 3.99 μB per formula unit.

***

No. 3
Material: PaInTc
Method: DFT, PBE
State: optimized geometry

The space group is C2/m (No. 12) and the conventional cell measures 11.2215, 4.9280 and 4.9371 Å, with angles of 90.00, 102.19 and 90.00 degrees. The inequivalent atoms are Pa at (0.1331, 0.0000, 0.3135), In at (0.0753, 0.5000, 0.7844) and Tc at (0.1911, 0.0000, 0.8431).

As for the formation energy: -0.27 eV per atom. The calculation puts the energy above the most stable polymorph in this dataset at 0.0 meV/atom. As for the total magnetization: 0.00 μB per formula unit.

***

No. 4
Material: La2AsPbO
Method: DFT, PBE
State: optimized geometry

The space group is P4/mmm (No. 123) and the conventional cell measures 6.0183, 6.0183 and 4.3906 Å, with angles of 90.00, 90.00 and 90.00 degrees. The inequivalent atoms are La at (0.0000, 0.5000, 0.0000), As at (0.0000, 0.0000, 0.5000), Pb at (0.5000, 0.5000, 0.0000) and O at (0.5000, 0.5000, 0.5000).

As for the total magnetization: 0.00 μB per formula unit. The formation energy without anion corrections comes out at -244.5 meV per atom.